Entry from the Alexandria database: a relaxed BeCr2RhO6 crystal (GGA+U).

Structure (CIF):
```
data_BeCr2RhO6
_space_group_name_H-M_alt 'R 3'
_space_group_IT_number 146
_space_group_name_Hall 'R 3'
_cell_length_a 4.9420
_cell_length_b 4.9420
_cell_length_c 14.1825
_cell_angle_alpha 90.00
_cell_angle_beta 90.00
_cell_angle_gamma 120.00
loop_
_atom_site_label
_atom_site_type_symbol
_atom_site_fract_x
_atom_site_fract_y
_atom_site_fract_z
_atom_site_occupancy
Be1 Be 0.0000 0.0000 0.0000 1
Cr1 Cr 0.0000 0.0000 0.2473 1
Cr2 Cr 0.0000 0.0000 0.7589 1
Rh1 Rh 0.0000 0.0000 0.5671 1
O1 O 0.0156 0.6683 0.8296 1
O2 O 0.0187 0.3350 0.6602 1
```

Output
Magnetic moment (μB/f.u.): 4.99
Energy (eV per formula unit): -72.02
Fermi-level density of states (states/eV per cell): 15.17